The following is a DFT calculation (PBEsol) of an optimized crystal structure of TaCdPb.

```
data_TaCdPb
_cell_length_a 3.101
_cell_length_b 4.002
_cell_length_c 10.210
_cell_angle_alpha 90.00
_cell_angle_beta 90.00
_cell_angle_gamma 90.00
_symmetry_space_group_name_H-M 'I m m 2'
_symmetry_Int_Tables_number 44
_symmetry_space_group_name_Hall 'I 2 -2'
loop_
_atom_site_label
_atom_site_fract_x
_atom_site_fract_y
_atom_site_fract_z
Ta1 0.000 0.000 0.000
Cd1 0.000 0.000 0.645
Pb1 0.000 0.000 0.327
```

Output
Its energy of formation from the pure elements is 0.561 eV/atom. The energy relative to the lowest polymorph listed for this composition is 0 meV per atom.

The following is a DFT calculation (PBEsol) of an optimized crystal structure of TaCd2Pb.

```
data_TaCd2Pb
_cell_length_a 6.996
_cell_length_b 6.996
_cell_length_c 6.996
_cell_angle_alpha 90.00
_cell_angle_beta 90.00
_cell_angle_gamma 90.00
_symmetry_space_group_name_H-M 'F -4 3 m'
_symmetry_Int_Tables_number 216
_symmetry_space_group_name_Hall 'F -4 2 3'
loop_
_atom_site_label
_atom_site_fract_x
_atom_site_fract_y
_atom_site_fract_z
Ta1 0.000 0.000 0.000
Cd1 0.000 0.000 0.500
Cd2 0.250 0.250 0.250
Pb1 0.250 0.250 0.750
```

Output
Its energy of formation from the pure elements is 0.710 eV/atom.

The following is a DFT calculation (PBEsol) of an optimized crystal structure of TaCd2Pb.

```
data_TaCd2Pb
_cell_length_a 3.975
_cell_length_b 4.500
_cell_length_c 9.731
_cell_angle_alpha 90.00
_cell_angle_beta 90.00
_cell_angle_gamma 90.00
_symmetry_space_group_name_H-M 'C m m 2'
_symmetry_Int_Tables_number 35
_symmetry_space_group_name_Hall 'C 2 -2'
loop_
_atom_site_label
_atom_site_fract_x
_atom_site_fract_y
_atom_site_fract_z
Ta1 0.000 0.000 0.000
Cd1 0.000 0.000 0.546
Cd2 0.000 0.500 0.781
Pb1 0.000 0.500 0.242
```

Output
Its energy of formation from the pure elements is 0.316 eV/atom.

The following is a DFT calculation (PBEsol) of an optimized crystal structure of TaCdPb2.

```
data_TaCdPb2
_cell_length_a 6.428
_cell_length_b 9.753
_cell_length_c 3.142
_cell_angle_alpha 90.00
_cell_angle_beta 111.78
_cell_angle_gamma 90.00
_symmetry_space_group_name_H-M 'C 1 2/m 1'
_symmetry_Int_Tables_number 12
_symmetry_space_group_name_Hall '-C 2y'
loop_
_atom_site_label
_atom_site_fract_x
_atom_site_fract_y
_atom_site_fract_z
Ta1 0.000 0.000 0.000
Cd1 0.000 0.500 0.000
Pb1 0.250 0.250 0.500
```

Output
Its energy of formation from the pure elements is 0.536 eV/atom.

The following is a DFT calculation (PBEsol) of an optimized crystal structure of Cd4Te5Pb.

```
data_Cd4Te5Pb
_cell_length_a 4.606
_cell_length_b 23.887
_cell_length_c 6.589
_cell_angle_alpha 90.00
_cell_angle_beta 90.00
_cell_angle_gamma 90.00
_symmetry_space_group_name_H-M 'I m m 2'
_symmetry_Int_Tables_number 44
_symmetry_space_group_name_Hall 'I 2 -2'
loop_
_atom_site_label
_atom_site_fract_x
_atom_site_fract_y
_atom_site_fract_z
Cd1 0.000 0.106 0.000
Cd2 0.000 0.294 0.008
Te1 0.000 0.000 0.196
Te2 0.000 0.199 0.262
Te3 0.000 0.389 0.258
Pb1 0.000 0.500 0.003
```

Output
For the formation energy (no corrections), the calculation gives -3.1 eV/f.u.

The following is a DFT calculation (PBEsol) of an optimized crystal structure of Tl2CdPb.

```
data_Tl2CdPb
_cell_length_a 3.738
_cell_length_b 3.738
_cell_length_c 7.668
_cell_angle_alpha 90.00
_cell_angle_beta 90.00
_cell_angle_gamma 90.00
_symmetry_space_group_name_H-M 'P 4/m m m'
_symmetry_Int_Tables_number 123
_symmetry_space_group_name_Hall '-P 4 2'
loop_
_atom_site_label
_atom_site_fract_x
_atom_site_fract_y
_atom_site_fract_z
Tl1 0.000 0.000 0.228
Cd1 0.500 0.500 0.000
Pb1 0.500 0.500 0.500
```

Output
Its energy of formation from the pure elements is 0.048 eV/atom.

The following is a DFT calculation (PBEsol) of an optimized crystal structure of TlCd2Pb.

```
data_TlCd2Pb
_cell_length_a 5.194
_cell_length_b 5.194
_cell_length_c 3.771
_cell_angle_alpha 90.00
_cell_angle_beta 90.00
_cell_angle_gamma 90.00
_symmetry_space_group_name_H-M 'P 4/m m m'
_symmetry_Int_Tables_number 123
_symmetry_space_group_name_Hall '-P 4 2'
loop_
_atom_site_label
_atom_site_fract_x
_atom_site_fract_y
_atom_site_fract_z
Tl1 0.000 0.000 0.000
Cd1 0.000 0.500 0.500
Pb1 0.500 0.500 0.000
```

Output
Its energy of formation from the pure elements is 0.080 eV/atom.

The following is a DFT calculation (PBEsol) of an optimized crystal structure of TlCd4Pb.

```
data_TlCd4Pb
_cell_length_a 8.329
_cell_length_b 8.329
_cell_length_c 8.329
_cell_angle_alpha 90.00
_cell_angle_beta 90.00
_cell_angle_gamma 90.00
_symmetry_space_group_name_H-M 'F -4 3 m'
_symmetry_Int_Tables_number 216
_symmetry_space_group_name_Hall 'F -4 2 3'
loop_
_atom_site_label
_atom_site_fract_x
_atom_site_fract_y
_atom_site_fract_z
Tl1 0.000 0.000 0.000
Cd1 0.125 0.125 0.375
Pb1 0.250 0.250 0.750
```

Output
Its energy of formation from the pure elements is 0.028 eV/atom.

The following is a DFT calculation (PBEsol) of an optimized crystal structure of Tl2CdPb.

```
data_Tl2CdPb
_cell_length_a 3.353
_cell_length_b 5.188
_cell_length_c 6.400
_cell_angle_alpha 90.00
_cell_angle_beta 101.95
_cell_angle_gamma 90.00
_symmetry_space_group_name_H-M 'P 1 m 1'
_symmetry_Int_Tables_number 6
_symmetry_space_group_name_Hall 'P -2y'
loop_
_atom_site_label
_atom_site_fract_x
_atom_site_fract_y
_atom_site_fract_z
Tl1 0.000 0.000 0.000
Tl2 0.299 0.500 0.695
Cd1 0.600 0.500 0.193
Pb1 0.696 0.000 0.476
```

Output
Its energy of formation from the pure elements is 0.043 eV/atom.

The following is a DFT calculation (PBEsol) of an optimized crystal structure of TlCd2Pb.

```
data_TlCd2Pb
_cell_length_a 4.700
_cell_length_b 4.889
_cell_length_c 8.770
_cell_angle_alpha 90.00
_cell_angle_beta 90.00
_cell_angle_gamma 90.00
_symmetry_space_group_name_H-M 'I m m m'
_symmetry_Int_Tables_number 71
_symmetry_space_group_name_Hall '-I 2 2'
loop_
_atom_site_label
_atom_site_fract_x
_atom_site_fract_y
_atom_site_fract_z
Tl1 0.000 0.000 0.000
Cd1 0.000 0.500 0.250
Pb1 0.000 0.000 0.500
```

Output
Its energy of formation from the pure elements is 0.076 eV/atom.

The following is a DFT calculation (PBEsol) of an optimized crystal structure of TlCd2Pb.

```
data_TlCd2Pb
_cell_length_a 3.329
_cell_length_b 3.329
_cell_length_c 9.006
_cell_angle_alpha 90.00
_cell_angle_beta 90.00
_cell_angle_gamma 90.00
_symmetry_space_group_name_H-M 'P 4 m m'
_symmetry_Int_Tables_number 99
_symmetry_space_group_name_Hall 'P 4 -2'
loop_
_atom_site_label
_atom_site_fract_x
_atom_site_fract_y
_atom_site_fract_z
Tl1 0.000 0.000 0.000
Cd1 0.000 0.000 0.456
Cd2 0.500 0.500 0.249
Pb1 0.500 0.500 0.707
```

Output
Its energy of formation from the pure elements is 0.037 eV/atom.

The following is a DFT calculation (PBEsol) of an optimized crystal structure of Tl2CdPb.

```
data_Tl2CdPb
_cell_length_a 4.670
_cell_length_b 4.670
_cell_length_c 9.857
_cell_angle_alpha 90.00
_cell_angle_beta 90.00
_cell_angle_gamma 90.00
_symmetry_space_group_name_H-M 'I 4/m m m'
_symmetry_Int_Tables_number 139
_symmetry_space_group_name_Hall '-I 4 2'
loop_
_atom_site_label
_atom_site_fract_x
_atom_site_fract_y
_atom_site_fract_z
Tl1 0.000 0.500 0.250
Cd1 0.000 0.000 0.000
Pb1 0.000 0.000 0.500
```

Output
Its energy of formation from the pure elements is 0.050 eV/atom.

The following is a DFT calculation (PBEsol) of an optimized crystal structure of TlCd2Pb.

```
data_TlCd2Pb
_cell_length_a 4.548
_cell_length_b 4.548
_cell_length_c 9.732
_cell_angle_alpha 90.00
_cell_angle_beta 90.00
_cell_angle_gamma 90.00
_symmetry_space_group_name_H-M 'I -4 m 2'
_symmetry_Int_Tables_number 119
_symmetry_space_group_name_Hall 'I -4 -2'
loop_
_atom_site_label
_atom_site_fract_x
_atom_site_fract_y
_atom_site_fract_z
Tl1 0.000 0.000 0.000
Cd1 0.000 0.000 0.500
Cd2 0.000 0.500 0.250
Pb1 0.000 0.500 0.750
```

Output
Its energy of formation from the pure elements is 0.077 eV/atom.

The following is a DFT calculation (PBEsol) of an optimized crystal structure of Tl2CdPb.

```
data_Tl2CdPb
_cell_length_a 3.4123
_cell_length_b 3.4123
_cell_length_c 32.0100
_cell_angle_alpha 90.00
_cell_angle_beta 90.00
_cell_angle_gamma 120.00
_symmetry_space_group_name_H-M 'R 3 m'
_symmetry_Int_Tables_number 160
_symmetry_space_group_name_Hall 'R 3 -2"'
loop_
_atom_site_label
_atom_site_fract_x
_atom_site_fract_y
_atom_site_fract_z
Tl1 0.0000 0.0000 0.0000
Tl2 0.0000 0.0000 0.2463
Cd1 0.0000 0.0000 0.7447
Pb1 0.0000 0.0000 0.4909
```

Output
Its energy of formation from the pure elements is 0.039 eV/atom.

The following is a DFT calculation (PBEsol) of an optimized crystal structure of Tl2CdPb.

```
data_Tl2CdPb
_cell_length_a 6.518
_cell_length_b 10.655
_cell_length_c 3.309
_cell_angle_alpha 90.00
_cell_angle_beta 109.18
_cell_angle_gamma 90.00
_symmetry_space_group_name_H-M 'C 1 2/m 1'
_symmetry_Int_Tables_number 12
_symmetry_space_group_name_Hall '-C 2y'
loop_
_atom_site_label
_atom_site_fract_x
_atom_site_fract_y
_atom_site_fract_z
Tl1 0.250 0.250 0.000
Cd1 0.000 0.000 0.500
Pb1 0.000 0.500 0.500
```

Output
Its energy of formation from the pure elements is 0.063 eV/atom.